## NaPd3Br (PBE-GGA)

Data for crystalline NaPd3Br at its relaxed geometry.

a b c (Å): 4.8282 4.8282 4.8282
angles (deg): 90.00 90.00 90.00
Last column: nearest neighbours and their distance in Å.
Positions (direct):
Na (0.0000, 0.0000, 0.0000)  12 Pd 3.41
Pd (0.0000, 0.5000, 0.5000)  2 Br 2.41
Pd (0.5000, 0.0000, 0.5000)  2 Br 2.41
Pd (0.5000, 0.5000, 0.0000)  2 Br 2.41
Br (0.5000, 0.5000, 0.5000)  6 Pd 2.41


## Ca2Mg2Cu (PBE-GGA)

Data for crystalline Ca2Mg2Cu at its relaxed geometry.

a b c (Å): 5.8814 5.8814 5.8814
angles (deg): 116.30 116.30 96.54
Last column: nearest neighbours and their distance in Å.
Positions (direct):
Ca (0.2500, 0.7500, 0.5000)  4 Mg 3.16
Ca (0.7500, 0.2500, 0.5000)  4 Mg 3.16
Mg (0.1742, 0.1742, 0.0000)  1 Cu 2.55, 1 Mg 2.73
Mg (0.8258, 0.8258, 0.0000)  1 Cu 2.55, 1 Mg 2.73
Cu (0.5000, 0.5000, 0.0000)  2 Mg 2.55

Computed properties:
- DFT formation energy: 315 meV/atom


Relative energy among the computed polymorphs / meV/atom: 0, 399
E_tot / eV/atom: -3.5027, -1.9430